# SrSnI2 (PBE, optimized geometry)
# Formation energy from raw total energies in eV per atom: -0.6223
# Density of states at the Fermi level in states/eV/cell: 20.9
# Excess energy over the best structure of this formula in the dataset in meV/atom: 44
# Magnetic moment in μB per formula unit: 0.0
# Uncorrected energy in eV/atom: -2.819
data_SrSnI2
_cell_length_a 8.263
_cell_length_b 8.263
_cell_length_c 8.263
_cell_angle_alpha 90.00
_cell_angle_beta 90.00
_cell_angle_gamma 90.00
_space_group_name_H-M_alt 'F m -3 m'
_space_group_IT_number 225
_space_group_name_Hall '-F 4 2 3'
loop_
_atom_site_label
_atom_site_type_symbol
_atom_site_fract_x
_atom_site_fract_y
_atom_site_fract_z
_atom_site_occupancy
Sr1 Sr 0.000 0.000 0.000 1
Sn1 Sn 0.000 0.000 0.500 1
I1 I 0.250 0.250 0.250 1